No. 1
A plane-wave DFT calculation with PBE was carried out for an optimized crystal structure of LaGdCuIr.

Results
- Energy of formation from the pure elements: -45 kJ per mole of atoms

Geometry as CIF:
```
data_LaGdCuIr
_space_group_name_H-M_alt 'F -4 3 m'
_space_group_IT_number 216
_space_group_name_Hall 'F -4 2 3'
_cell_length_a 7.104
_cell_length_b 7.104
_cell_length_c 7.104
_cell_angle_alpha 90.00
_cell_angle_beta 90.00
_cell_angle_gamma 90.00
loop_
_atom_site_label
_atom_site_type_symbol
_atom_site_fract_x
_atom_site_fract_y
_atom_site_fract_z
_atom_site_occupancy
La1 La 0.000 0.000 0.000 1
Gd1 Gd 0.000 0.000 0.500 1
Cu1 Cu 0.250 0.250 0.250 1
Ir1 Ir 0.250 0.250 0.750 1
```

No. 2
A plane-wave DFT calculation with PBE was carried out for an optimized crystal structure of PrInPt.

Results
- Energy of formation from the pure elements: -63 kJ per mole of atoms

Geometry as CIF:
```
data_PrInPt
_space_group_name_H-M_alt 'I 4 m m'
_space_group_IT_number 107
_space_group_name_Hall 'I 4 -2'
_cell_length_a 3.528
_cell_length_b 3.528
_cell_length_c 11.468
_cell_angle_alpha 90.00
_cell_angle_beta 90.00
_cell_angle_gamma 90.00
loop_
_atom_site_label
_atom_site_type_symbol
_atom_site_fract_x
_atom_site_fract_y
_atom_site_fract_z
_atom_site_occupancy
Pr1 Pr 0.000 0.000 0.000 1
In1 In 0.000 0.000 0.709 1
Pt1 Pt 0.000 0.000 0.339 1
```

No. 3
A plane-wave DFT calculation with PBE was carried out for an optimized crystal structure of AcLaPm3.

Results
- Energy of formation from the pure elements: 3 kJ per mole of atoms

Geometry as CIF:
```
data_AcLaPm3
_space_group_name_H-M_alt 'I m m a'
_space_group_IT_number 74
_space_group_name_Hall '-I 2b 2'
_cell_length_a 5.733
_cell_length_b 7.331
_cell_length_c 17.560
_cell_angle_alpha 90.00
_cell_angle_beta 90.00
_cell_angle_gamma 90.00
loop_
_atom_site_label
_atom_site_type_symbol
_atom_site_fract_x
_atom_site_fract_y
_atom_site_fract_z
_atom_site_occupancy
Ac1 Ac 0.000 0.250 0.107 1
La1 La 0.000 0.000 0.500 1
Pm1 Pm 0.000 0.004 0.699 1
Pm2 Pm 0.000 0.250 0.888 1
```